A plane-wave DFT calculation with GGA-PBE was carried out for SrLaTc2 after structural relaxation.

Offset from the most stable computed form: 528 meV per atom
Space-group type: No. 65
Uncorrected energy: -6.004 eV/atom
Energy relative to the elements: 0.831 eV per atom

Cell lengths 3.1886, 3.1886, 9.4302 Å; angles 90.00, 90.00, 113.73 degrees
Last column: nearest neighbours and their distance in Å.
Fractional coordinates of all 4 atoms:
Tc1 0.0000 0.0000 0.4797  2 La 2.78, 2 Sr 3.09
Tc2 0.0000 0.0000 0.0203  2 La 2.78, 2 Sr 3.09
La1 0.5000 0.5000 0.2500  4 Tc 2.78
Sr1 0.5000 0.5000 0.7500  4 Tc 3.09, 4 Sr 3.19